A plane-wave DFT calculation with GGA-PBE was carried out for ReMo2Cl after structural relaxation. Values from VASP.

Summary:
The polymorph energy (0 for the lowest one) comes out at 0.585 eV per atom. The symmetry is C2/m, No. 12. The value obtained for the total magnetization is 0.000 μB per atom.

```
&SYSTEM
  ibrav = 0, nat = 8, ntyp = 3
/
ATOMIC_SPECIES
Re 186.21 Re.upf
Mo 95.94 Mo.upf
Cl 35.45 Cl.upf
CELL_PARAMETERS angstrom
5.4677 0.0000 0.0000
0.0000 8.4173 0.0000
-0.8671 0.0000 2.7196
ATOMIC_POSITIONS angstrom
Re 0.0000 0.0000 0.0000
Re 2.7338 4.2087 0.0000
Mo 0.9333 2.1043 1.3598
Mo 0.9333 6.3130 1.3598
Mo 3.6672 2.1043 1.3598
Mo 3.6672 6.3130 1.3598
Cl 0.0000 4.2087 0.0000
Cl 2.7338 0.0000 0.0000
```